VASP calculation (PBE) on a geometry-optimized SrErMoN3 structure.

For the volume, the calculation gives 215.1 Å³/cell. The value obtained for the total energy is -94.4 eV per cell. The magnetic moment comes out at 0.0 μB/cell.

It has space group P2_1/m (No. 11), with a = 7.5178 Å, b = 3.5752 Å, c = 8.1594 Å, α = 90.00°, β = 101.21° and γ = 90.00°. The asymmetric unit holds Sr at (0.1848, 0.2500, 0.1748), Er at (0.3751, 0.7500, 0.8527), Mo at (0.0879, 0.2500, 0.6069), N at (0.1111, 0.2500, 0.8379), N at (0.1739, 0.7500, 0.5353) and N at (0.4277, 0.7500, 0.1303).

---

VASP calculation (PBE) on a geometry-optimized TbErMo2N6 structure.

For the volume, the calculation gives 625.7 Å³/cell. The value obtained for the total energy is -359.3 eV per cell. The magnetic moment comes out at 0.0 μB/cell.

It has space group C2/c (No. 15), with a = 11.2346 Å, b = 9.5861 Å, c = 6.3095 Å, α = 90.00°, β = 112.95° and γ = 90.00°. The asymmetric unit holds Tb at (0.0000, 0.0898, 0.2500), Er at (0.0000, 0.2891, 0.7500), Mo at (0.2098, 0.4108, 0.2177), N at (0.1103, 0.1107, 0.6579), N at (0.1292, 0.2465, 0.1585) and N at (0.1456, 0.4828, 0.9161).

---

VASP calculation (PBE) on a geometry-optimized Er2VMoN5 structure.

For the volume, the calculation gives 414.8 Å³/cell. The value obtained for the total energy is -322.4 eV per cell. The magnetic moment comes out at 0.0 μB/cell.

It has space group Cmc2_1 (No. 36), with a = 3.2104 Å, b = 12.8708 Å, c = 10.0385 Å, α = 90.00°, β = 90.00° and γ = 90.00°. The asymmetric unit holds Er at (0.0000, 0.1057, 0.0000), Er at (0.0000, 0.1446, 0.5984), V at (0.0000, 0.4718, 0.7666), Mo at (0.0000, 0.2209, 0.3191), N at (0.0000, 0.0486, 0.3572), N at (0.0000, 0.2809, 0.9564), N at (0.0000, 0.3192, 0.6816), N at (0.0000, 0.3712, 0.3080) and N at (0.0000, 0.4895, 0.0910).

---

VASP calculation (PBE) on a geometry-optimized YErMo2N6 structure.

For the volume, the calculation gives 623.5 Å³/cell. The value obtained for the total energy is -366.6 eV per cell. The magnetic moment comes out at 0.0 μB/cell.

It has space group C2/c (No. 15), with a = 11.2259 Å, b = 9.5772 Å, c = 6.2940 Å, α = 90.00°, β = 112.87° and γ = 90.00°. The asymmetric unit holds Y at (0.0000, 0.0891, 0.2500), Er at (0.0000, 0.2888, 0.7500), Mo at (0.2098, 0.4107, 0.2185), N at (0.1101, 0.1102, 0.6574), N at (0.1294, 0.2462, 0.1603) and N at (0.1452, 0.4825, 0.9161).